A plane-wave DFT calculation with GGA-PBE was carried out for crystalline CePr4Y3 at its relaxed geometry.

Output
For the magnetization, the calculation gives 0.99 Bohr magnetons per cell. The formation energy from the elements comes out at 1.51 eV per formula unit. The value obtained for the raw total energy is -5.37 eV/atom.

a b c (Å): 3.4660 6.9454 12.0965
angles (deg): 106.42 98.24 90.00
Site moments in Bohr magnetons follow the coordinates.
Fractional positions:
Pr 0.7418 0.2365 0.4835  -0.01
Pr 0.1218 0.3618 0.2435  0.00
Pr 0.2582 0.7635 0.5165  -0.01
Pr 0.8782 0.6382 0.7565  0.00
Y 0.1225 0.8804 0.2450  0.01
Y 0.0000 0.5000 0.0000  0.04
Y 0.8775 0.1196 0.7550  0.01
Ce 0.5000 0.0000 0.0000  0.74



A plane-wave DFT calculation with GGA-PBE was carried out for crystalline CePr5Y12 at its relaxed geometry.

Output
For the magnetization, the calculation gives 1.35 Bohr magnetons per cell. The formation energy from the elements comes out at 0.55 eV per formula unit. The value obtained for the raw total energy is -5.94 eV/atom.

a b c (Å): 10.8096 10.8460 6.2691
angles (deg): 106.82 90.00 60.11
Site moments in Bohr magnetons follow the coordinates.
Fractional positions:
Y 0.6701 0.0000 0.0000  0.02
Y 0.1657 0.0000 0.5000  0.03
Y 0.8343 0.6666 0.5001  0.00
Y 0.4989 0.6666 0.5001  0.00
Y 0.0015 0.3314 0.9995  0.01
Y 0.3299 0.0000 0.0000  0.02
Y 0.3327 0.6687 0.0005  0.01
Y 0.6673 0.3314 0.9995  0.01
Y 0.8343 0.0000 0.5000  0.03
Y 0.5011 0.3334 0.4999  0.00
Y 0.1657 0.3334 0.4999  0.00
Y 0.9985 0.6686 0.0005  0.01
Pr 0.5000 0.0000 0.5000  0.00
Pr 0.6666 0.6665 0.9998  -0.01
Pr 0.1651 0.6696 0.5064  0.01
Pr 0.8349 0.3304 0.4936  0.01
Pr 0.3334 0.3335 0.0002  -0.01
Ce 0.0000 0.0000 0.0000  0.85



A plane-wave DFT calculation with GGA-PBE was carried out for crystalline CePr3Y6 at its relaxed geometry.

Output
For the magnetization, the calculation gives 1.48 Bohr magnetons per cell. The formation energy from the elements comes out at 2.64 eV per formula unit. The value obtained for the raw total energy is -5.64 eV/atom.

a b c (Å): 10.0050 10.0050 6.9554
angles (deg): 44.01 44.01 60.00
Site moments in Bohr magnetons follow the coordinates.
Fractional positions:
Pr 0.3997 0.3997 0.8009  0.01
Pr 0.6594 0.6594 0.0218  0.08
Pr 0.1400 0.1400 0.5801  0.08
Ce 0.8996 0.8996 0.3011  0.48
Y 0.0716 0.4003 0.7993  0.05
Y 0.5756 0.2249 0.2994  0.04
Y 0.4003 0.7288 0.7993  0.05
Y 0.7288 0.0716 0.7993  0.05
Y 0.9002 0.5756 0.2994  0.04
Y 0.2249 0.9002 0.2994  0.04



A plane-wave DFT calculation with GGA-PBE was carried out for crystalline CePr6Y5 at its relaxed geometry.

Output
For the magnetization, the calculation gives 1.04 Bohr magnetons per cell. The formation energy from the elements comes out at 0.41 eV per formula unit. The value obtained for the raw total energy is -5.54 eV/atom.

a b c (Å): 6.2858 7.3122 11.4412
angles (deg): 108.57 122.59 89.99
Site moments in Bohr magnetons follow the coordinates.
Fractional positions:
Y 0.0000 0.5000 0.0000  0.02
Y 0.3350 0.8330 0.6661  0.00
Y 0.3330 0.3331 0.6659  -0.01
Y 0.6650 0.1670 0.3339  0.00
Y 0.6670 0.6669 0.3341  -0.01
Ce 0.0000 0.0000 0.0000  0.79
Pr 0.1648 0.4124 0.3306  0.00
Pr 0.4998 0.2450 0.9997  0.01
Pr 0.8352 0.0821 0.6696  0.00
Pr 0.1648 0.9179 0.3304  0.00
Pr 0.8352 0.5876 0.6694  0.00
Pr 0.5002 0.7550 0.0003  0.01



A plane-wave DFT calculation with GGA-PBE was carried out for crystalline CePr3Y at its relaxed geometry.

Output
For the magnetization, the calculation gives 0.00 Bohr magnetons per cell. The formation energy from the elements comes out at 0.45 eV per formula unit. The value obtained for the raw total energy is -5.26 eV/atom.

a b c (Å): 5.9574 13.2100 12.9165
angles (deg): 44.97 72.68 71.62
Fractional positions:
Pr 0.9827 0.1583 0.9784
Pr 0.8351 0.5659 0.8023
Pr 0.9192 0.8749 0.3802
Pr 0.6365 0.6529 0.0324
Pr 0.0173 0.8417 0.0216
Pr 0.4912 0.0389 0.8365
Pr 0.1649 0.4341 0.1977
Pr 0.0808 0.1251 0.6198
Pr 0.4424 0.6726 0.5651
Pr 0.3635 0.3471 0.9676
Pr 0.5088 0.9611 0.1635
Pr 0.5576 0.3274 0.4349
Y 0.7770 0.2538 0.1999
Y 0.2230 0.7462 0.8001
Y 0.2969 0.0498 0.3872
Y 0.7031 0.9502 0.6128
Ce 0.8551 0.5429 0.3970
Ce 0.6860 0.3362 0.6862
Ce 0.1449 0.4571 0.6030
Ce 0.3140 0.6638 0.3138



A plane-wave DFT calculation with GGA-PBE was carried out for crystalline CePrY2 at its relaxed geometry.

Output
As for the offset from the most stable computed form: 10 meV per atom. For the magnetization, the calculation gives 0.71 Bohr magnetons per cell. The formation energy from the elements comes out at 0.27 eV per formula unit. The value obtained for the raw total energy is -5.84 eV/atom.

a b c (Å): 3.5902 3.5902 10.1221
angles (deg): 90.00 90.00 90.00
Site moments in Bohr magnetons follow the coordinates.
Fractional positions:
Pr 0.5000 0.5000 0.5000  -0.01
Ce 0.5000 0.5000 0.0000  0.59
Y 0.0000 0.0000 0.7606  0.00
Y 0.0000 0.0000 0.2394  0.00



A plane-wave DFT calculation with GGA-PBE was carried out for crystalline CePrY2 at its relaxed geometry.

Output
As for the offset from the most stable computed form: 106 meV per atom. For the magnetization, the calculation gives 0.83 Bohr magnetons per cell. The formation energy from the elements comes out at 0.65 eV per formula unit. The value obtained for the raw total energy is -5.75 eV/atom.

a b c (Å): 5.7409 5.7409 5.7409
angles (deg): 60.00 60.00 60.00
Site moments in Bohr magnetons follow the coordinates.
Fractional positions:
Y 0.7500 0.7500 0.7500  0.01
Y 0.2500 0.2500 0.2500  0.01
Ce 0.0000 0.0000 0.0000  0.69
Pr 0.5000 0.5000 0.5000  -0.01



A plane-wave DFT calculation with GGA-PBE was carried out for crystalline CePr4Y4 at its relaxed geometry.

Output
For the magnetization, the calculation gives 1.49 Bohr magnetons per cell. The formation energy from the elements comes out at 0.40 eV per formula unit. The value obtained for the raw total energy is -5.61 eV/atom.

a b c (Å): 5.1616 8.1143 8.1143
angles (deg): 84.19 71.45 71.45
Site moments in Bohr magnetons follow the coordinates.
Fractional positions:
Ce 0.0000 0.0000 0.0000  0.87
Y 0.3358 0.3283 0.0000  0.04
Y 0.3358 0.0000 0.3283  0.04
Y 0.6642 0.0000 0.6717  0.04
Y 0.6642 0.6717 0.0000  0.04
Pr 0.6707 0.3293 0.3293  0.01
Pr 0.0000 0.6707 0.3293  0.01
Pr 0.3293 0.6707 0.6707  0.01
Pr 0.0000 0.3293 0.6707  0.01